# 1
## NdScAs (PBE)

Data for crystalline NdScAs at its relaxed geometry.

Summary:
Magnetic moment ... 0.0 μB/cell
Density of states at the Fermi level ... 1.36 states/eV per atom
Volume ... 76 Å³/f.u.
DFT formation energy ... -0.68 eV/atom

a = 4.5900 Å, b = 4.5900 Å, c = 4.1577 Å
α = 90.00°, β = 90.00°, γ = 120.00°
Space group P3m1 (No. 156)
One atom of each set of equivalent atoms:
Nd 0.0000 0.0000 0.0000 (multiplicity 1)
Sc 0.6667 0.3333 0.5017 (multiplicity 1)
As 0.3333 0.6667 0.4266 (multiplicity 1)

# 2
## NdSc4As5 (PBE)

Data for crystalline NdSc4As5 at its relaxed geometry.

Summary:
Magnetic moment ... 0.0 μB/cell
Density of states at the Fermi level ... 0.18 states/eV per atom
Volume ... 221 Å³/f.u.
DFT formation energy ... -1.36 eV/atom

a = 3.9575 Å, b = 5.6469 Å, c = 19.7790 Å
α = 90.00°, β = 90.00°, γ = 90.00°
Space group Immm (No. 71)
One atom of each set of equivalent atoms:
Nd 0.0000 0.0000 0.0000 (multiplicity 2)
Sc 0.0000 0.0000 0.2044 (multiplicity 4)
Sc 0.0000 0.0000 0.3983 (multiplicity 4)
As 0.0000 0.5000 0.0000 (multiplicity 2)
As 0.0000 0.5000 0.1989 (multiplicity 4)
As 0.0000 0.5000 0.3905 (multiplicity 4)

# 3
## Nd2ScAs3 (PBE)

Data for crystalline Nd2ScAs3 at its relaxed geometry.

Summary:
Magnetic moment ... 0.0 μB/cell
Energy relative to the lowest polymorph listed for this composition ... 0.000 eV/atom
Density of states at the Fermi level ... 0.17 states/eV per atom
Volume ... 152 Å³/f.u.
DFT formation energy ... -1.41 eV/atom

a = 4.1492 Å, b = 5.9135 Å, c = 12.4004 Å
α = 90.00°, β = 90.00°, γ = 90.00°
Space group Immm (No. 71)
One atom of each set of equivalent atoms:
Nd 0.0000 0.0000 0.1690 (multiplicity 4)
Sc 0.0000 0.0000 0.5000 (multiplicity 2)
As 0.0000 0.5000 0.1537 (multiplicity 4)
As 0.0000 0.5000 0.5000 (multiplicity 2)

# 4
## Nd2ScAs3 (PBE)

Data for crystalline Nd2ScAs3 at its relaxed geometry.

Summary:
Magnetic moment ... 0.0 μB/cell
Energy relative to the lowest polymorph listed for this composition ... 0.003 eV/atom
Density of states at the Fermi level ... 0.12 states/eV per atom
Volume ... 153 Å³/f.u.
DFT formation energy ... -1.41 eV/atom

a = 4.1904 Å, b = 4.1904 Å, c = 17.4178 Å
α = 90.00°, β = 90.00°, γ = 90.00°
Space group I4/mmm (No. 139)
One atom of each set of equivalent atoms:
Nd 0.0000 0.0000 0.1658 (multiplicity 4)
Sc 0.0000 0.0000 0.5000 (multiplicity 2)
As 0.0000 0.0000 0.0000 (multiplicity 2)
As 0.0000 0.0000 0.3403 (multiplicity 4)

# 5
## NdScAs (PBE)

Data for crystalline NdScAs at its relaxed geometry.

Summary:
Magnetic moment ... 0.0 μB/cell
Density of states at the Fermi level ... 0.99 states/eV per atom
Volume ... 72 Å³/f.u.
DFT formation energy ... -1.02 eV/atom

a = 4.2288 Å, b = 4.2288 Å, c = 8.0578 Å
α = 90.00°, β = 90.00°, γ = 90.00°
Space group P4/nmm (No. 129, origin choice 2)
One atom of each set of equivalent atoms:
Nd 0.2500 0.2500 0.1481 (multiplicity 2)
Sc 0.2500 0.7500 0.5000 (multiplicity 2)
As 0.2500 0.2500 0.7506 (multiplicity 2)

# 6
## NdSc5As4 (PBE)

Data for crystalline NdSc5As4 at its relaxed geometry.

Summary:
Magnetic moment ... 0.0 μB/cell
Density of states at the Fermi level ... 0.68 states/eV per atom
Volume ... 257 Å³/f.u.
DFT formation energy ... -0.86 eV/atom

a = 8.5080 Å, b = 9.4946 Å, c = 6.3701 Å
α = 90.00°, β = 90.00°, γ = 90.00°
Space group Pmmn (No. 59, origin choice 2)
One atom of each set of equivalent atoms:
Nd 0.2500 0.2500 0.1493 (multiplicity 2)
Sc 0.0024 0.0372 0.7443 (multiplicity 8)
Sc 0.2500 0.7500 0.7488 (multiplicity 2)
As 0.0121 0.2500 0.4724 (multiplicity 4)
As 0.2500 0.5303 0.9952 (multiplicity 4)